Tb3Tm2Cd2 PBE-GGA relaxed; formation enthalpy at 0 K = -0.151 eV/atom; E = -25.72 eV per cell
1.0
5.353 0.000 0.000
-2.677 4.630 -0.294
0.000 -2.580 8.090
Tb Tm Cd
3 2 2
Cartesian
2.677 0.000 0.000 Tb
2.677 0.238 3.717 Tb
0.000 1.813 4.079 Tb
2.677 3.229 2.006 Tm
0.000 -1.178 5.789 Tm
2.677 0.439 6.839 Cd
0.000 1.611 0.957 Cd